## CsCoHg2O (PBEsol)

Data for an optimized crystal structure of CsCoHg2O.

Unit cell a=4.7506 b=4.7506 c=5.5749 alpha=90.00 beta=90.00 gamma=90.00
Closest atoms and distances in Å follow each position.
Fractional positions:
Cs: 0.0000 0.0000 0.0000  2 O 2.79
Co: 0.5000 0.5000 0.0000  4 Cs 3.36, 8 Hg 3.66
Hg: 0.0000 0.5000 0.5000  2 O 2.38
Hg: 0.5000 0.0000 0.5000  2 O 2.38
O: 0.0000 0.0000 0.5000  4 Hg 2.38

For the volume, the calculation gives 25.16 A^3/atom. The calculated density is 8.04 g cm⁻³. The crystal system is tetragonal. The uncorrected formation energy comes out at 0.67 eV/atom.